Cs2Cd7 (GGA-PBE, relaxed); SG = P-3m1 (164); E_tot = -0.92 eV/atom; calculated density = 6045 kg/m3
1.0
7.012 0.000 0.000
-3.506 6.072 0.000
0.000 0.000 6.792
Cs Cd
2 7
Direct
0.333 0.667 0.358 Cs
0.667 0.333 0.642 Cs
0.000 0.000 0.500 Cd
0.176 0.352 0.842 Cd
0.176 0.824 0.842 Cd
0.352 0.176 0.158 Cd
0.648 0.824 0.842 Cd
0.824 0.176 0.158 Cd
0.824 0.648 0.158 Cd